DFT (GGA-PBE) results for an optimized crystal structure of MgCdHg2.

Cell: 4.9470 4.9470 3.7208 Å, 90.00 90.00 90.00°
Space group P4/mmm (No. 123)
Inequivalent atoms, fractional coordinates:
Mg 0.0000 0.0000 0.0000
Cd 0.5000 0.5000 0.0000
Hg 0.0000 0.5000 0.5000

Values from the calculation:
formation enthalpy at 0 K	-82	meV/atom
E	-0.861	eV per atom
mass density	9.8	Mg/m³
total magnetic moment	0.00	μB/atom